4
Lattice="-0.836 2.354 -3.846 0.864 -1.899 -4.084 -3.468 -1.233 -2.735" Properties=species:S:1:pos:R:3 comment="HfHgRuRh, relaxed, DFT PBE" total_magnetization_mub_per_atom=0.00 ef_mev_per_atom=-298 pbc="T T T"
Rh -2.580 -0.584 -7.999
Hf 0.000 0.000 0.000
Hg -1.720 -0.389 -5.332
Ru -0.860 -0.195 -2.666

4
Lattice="-2.384 2.894 3.193 0.856 -0.434 4.831 2.432 3.548 2.399" Properties=species:S:1:pos:R:3 comment="TbHfHgRh, relaxed, DFT PBE" total_magnetization_mub_per_atom=0.00 ef_mev_per_atom=-391 pbc="T T T"
Tb 0.226 1.502 2.606
Hf 0.678 4.506 7.817
Hg 0.452 3.004 5.212
Rh 0.000 0.000 0.000

5
Lattice="-1.182 -4.221 -1.730 3.620 -2.048 2.523 -2.918 -0.674 3.639" Properties=species:S:1:pos:R:3 comment="HfTc2HgRh, relaxed, DFT PBE" total_magnetization_mub_per_atom=0.11 ef_mev_per_atom=1127 pbc="T T T"
Rh 0.000 0.000 0.000
Hf 1.810 -1.024 1.262
Hg -0.240 -3.472 2.216
Tc -1.459 -0.337 1.819
Tc -0.591 -2.110 -0.865